Record 1
## CsCaTe2N (PBE)

Data for crystalline CsCaTe2N at its relaxed geometry.

```
CsCaTe2N
1.0
6.420 0.000 0.000
0.000 6.420 0.000
0.000 0.000 4.498
Cs Ca Te N
1 1 2 1
direct
0.000 0.000 0.000
0.500 0.500 0.500
0.000 0.500 0.000
0.500 0.000 0.000
0.000 0.000 0.500
```

Properties
ΔE_f (raw): 442 kJ/mol of formula units
Magnetic moment: 1.69 μB/f.u.
Final energy: -0.09467 Ha/atom
Crystal system: tetragonal

Record 2
## CsCaTeN2 (PBE)

Data for crystalline CsCaTeN2 at its relaxed geometry.

```
CsCaTeN2
1.0
4.565 0.000 0.000
0.000 4.565 0.000
0.000 0.000 7.496
Cs Ca Te N
1 1 1 2
direct
0.000 0.000 0.000
0.500 0.500 0.500
0.000 0.000 0.500
0.000 0.500 0.000
0.500 0.000 0.000
```

Properties
ΔE_f (raw): 694 kJ/mol of formula units
Magnetic moment: 2.17 μB/f.u.
Final energy: -0.11359 Ha/atom
Crystal system: tetragonal

Record 3
## Cs2NaCa (PBE)

Data for crystalline Cs2NaCa at its relaxed geometry.

```
Cs2NaCa
1.0
4.408 0.000 0.000
2.204 3.818 0.000
2.204 1.273 15.557
Cs Na Ca
2 1 1
direct
0.090 0.090 0.731
0.910 0.910 0.269
0.500 0.500 0.500
0.000 0.000 0.000
```

Properties
E_form: 1.0 eV per formula unit
Magnetic moment: 0.00 μB/f.u.
Final energy: -0.03666 Ha/atom
Crystal system: trigonal

Record 4
## CsNa3Ca (PBE)

Data for crystalline CsNa3Ca at its relaxed geometry.

```
CsNa3Ca
1.0
6.865 0.000 0.000
0.000 6.865 0.000
0.000 0.000 6.865
Cs Na Ca
1 3 1
direct
0.500 0.500 0.500
0.000 0.500 0.000
0.000 0.000 0.500
0.500 0.000 0.000
0.000 0.000 0.000
```

Properties
E_form: 1.4 eV per formula unit
Magnetic moment: 0.00 μB/f.u.
Final energy: -0.03961 Ha/atom
Crystal system: cubic

Record 5
## Cs2NaCa2 (PBE)

Data for crystalline Cs2NaCa2 at its relaxed geometry.

```
Cs2NaCa2
1.0
12.828 0.000 0.000
0.000 12.828 0.000
0.000 0.000 4.213
Cs Na Ca
4 2 4
direct
0.312 0.812 0.000
0.812 0.688 0.000
0.688 0.188 0.000
0.188 0.312 0.000
0.000 0.000 0.000
0.500 0.500 0.000
0.103 0.603 0.500
0.603 0.897 0.500
0.897 0.397 0.500
0.397 0.103 0.500
```

Properties
E_form: 1.7 eV per formula unit
Magnetic moment: 0.00 μB/f.u.
Final energy: -0.03885 Ha/atom
Crystal system: tetragonal

Record 6
## Cs2Na4Ca (PBE)

Data for crystalline Cs2Na4Ca at its relaxed geometry.

```
Cs2Na4Ca
1.0
-0.778 5.817 -3.378
2.775 -2.820 -5.496
-8.689 -1.689 -7.692
Cs Na Ca
2 4 1
direct
0.371 0.371 0.259
0.629 0.629 0.741
0.169 0.169 0.663
0.831 0.831 0.337
0.000 0.500 0.000
0.500 0.000 0.000
0.000 0.000 0.000
```

Properties
E_form: 1.6 eV per formula unit
Magnetic moment: 0.00 μB/f.u.
Final energy: -0.03894 Ha/atom
Crystal system: tetragonal

Record 7
## Cs2NaCa (PBE)

Data for crystalline Cs2NaCa at its relaxed geometry.

```
Cs2NaCa
1.0
-1.766 3.109 -3.305
-3.195 -5.787 -3.737
-6.314 0.813 4.139
Cs Na Ca
2 1 1
direct
0.000 0.000 0.500
0.000 0.500 0.000
0.500 0.000 0.000
0.500 0.500 0.500
```

Properties
E_form: 0.8 eV per formula unit
Magnetic moment: 0.00 μB/f.u.
Final energy: -0.03893 Ha/atom
Crystal system: tetragonal

Record 8
## CsNaCa (PBE)

Data for crystalline CsNaCa at its relaxed geometry.

```
CsNaCa
1.0
4.392 0.000 0.000
0.000 4.392 0.000
-2.196 -2.196 8.735
Cs Na Ca
1 1 1
direct
0.007 0.007 0.014
0.686 0.686 0.372
0.307 0.307 0.613
```

Properties
E_form: 0.5 eV per formula unit
Magnetic moment: 0.00 μB/f.u.
Final energy: -0.04518 Ha/atom
Crystal system: tetragonal

Record 9
## Cs2NaCa (PBE)

Data for crystalline Cs2NaCa at its relaxed geometry.

```
Cs2NaCa
1.0
4.617 0.000 0.000
0.000 4.617 0.000
0.000 0.000 12.790
Cs Na Ca
2 1 1
direct
0.000 0.000 0.764
0.000 0.000 0.236
0.500 0.500 0.000
0.500 0.500 0.500
```

Properties
E_form: 0.7 eV per formula unit
Magnetic moment: 0.00 μB/f.u.
Final energy: -0.03947 Ha/atom
Crystal system: tetragonal

Record 10
## CsNa3Ca (PBE)

Data for crystalline CsNa3Ca at its relaxed geometry.

```
CsNa3Ca
1.0
-0.851 -0.782 -6.457
-1.735 -6.248 0.985
-6.268 1.836 0.604
Cs Na Ca
1 3 1
direct
0.000 0.000 0.000
0.000 0.500 0.000
0.000 0.000 0.500
0.500 0.000 0.000
0.500 0.500 0.500
```

Properties
E_form: 2.8 eV per formula unit
Magnetic moment: 0.00 μB/f.u.
Final energy: -0.02962 Ha/atom
Crystal system: cubic

Record 11
## CsNa10Ca (PBE)

Data for crystalline CsNa10Ca at its relaxed geometry.

```
CsNa10Ca
1.0
-3.640 2.211 -4.101
4.950 -1.375 -5.134
-4.824 -11.069 -1.687
Cs Na Ca
1 10 1
direct
0.000 0.000 0.000
0.000 0.000 0.349
0.000 0.500 0.814
0.000 0.500 0.186
0.000 0.000 0.651
0.500 0.000 0.500
0.500 0.500 0.000
0.500 0.267 0.279
0.500 0.733 0.721
0.500 0.733 0.279
0.500 0.267 0.721
0.000 0.500 0.500
```

Properties
E_form: 0.7 eV per formula unit
Magnetic moment: 0.00 μB/f.u.
Final energy: -0.04686 Ha/atom
Crystal system: orthorhombic

Record 12
## Cs2NaCa2 (PBE)

Data for crystalline Cs2NaCa2 at its relaxed geometry.

```
Cs2NaCa2
1.0
12.514 0.000 0.000
0.000 12.514 0.000
0.000 0.000 4.392
Cs Na Ca
4 2 4
direct
0.186 0.686 0.500
0.686 0.814 0.500
0.814 0.314 0.500
0.314 0.186 0.500
0.000 0.000 0.000
0.500 0.500 0.000
0.394 0.894 0.000
0.894 0.606 0.000
0.606 0.106 0.000
0.106 0.394 0.000
```

Properties
E_form: 1.6 eV per formula unit
Magnetic moment: 0.00 μB/f.u.
Final energy: -0.03954 Ha/atom
Crystal system: tetragonal

Record 13
## Cs2Na2Ca (PBE)

Data for crystalline Cs2Na2Ca at its relaxed geometry.

```
Cs2Na2Ca
1.0
10.060 0.000 0.000
0.000 10.060 0.000
0.000 0.000 6.334
Cs Na Ca
4 4 2
direct
0.177 0.677 0.500
0.677 0.823 0.500
0.823 0.323 0.500
0.323 0.177 0.500
0.372 0.872 0.000
0.872 0.628 0.000
0.628 0.128 0.000
0.128 0.372 0.000
0.000 0.000 0.000
0.500 0.500 0.000
```

Properties
E_form: 0.7 eV per formula unit
Magnetic moment: 0.00 μB/f.u.
Final energy: -0.04117 Ha/atom
Crystal system: tetragonal

Record 14
## Cs2Na2Ca (PBE)

Data for crystalline Cs2Na2Ca at its relaxed geometry.

```
Cs2Na2Ca
1.0
4.740 0.000 0.000
0.000 4.740 0.000
2.370 2.370 14.374
Cs Na Ca
2 2 1
direct
0.385 0.385 0.230
0.615 0.615 0.770
0.750 0.250 0.500
0.250 0.750 0.500
0.000 0.000 0.000
```

Properties
E_form: 0.9 eV per formula unit
Magnetic moment: 0.00 μB/f.u.
Final energy: -0.04010 Ha/atom
Crystal system: tetragonal

Record 15
## Cs3NaCa (PBE)

Data for crystalline Cs3NaCa at its relaxed geometry.

```
Cs3NaCa
1.0
-1.970 -7.423 0.567
2.901 -0.225 7.130
-6.857 2.038 2.854
Cs Na Ca
3 1 1
direct
0.000 0.500 0.000
0.000 0.000 0.500
0.500 0.000 0.000
0.000 0.000 0.000
0.500 0.500 0.500
```

Properties
E_form: 1.5 eV per formula unit
Magnetic moment: 0.00 μB/f.u.
Final energy: -0.03235 Ha/atom
Crystal system: cubic

Record 16
## Cs2NaCa2 (PBE)

Data for crystalline Cs2NaCa2 at its relaxed geometry.

```
Cs2NaCa2
1.0
5.140 0.000 0.000
0.000 5.140 0.000
2.570 2.570 13.208
Cs Na Ca
2 1 2
direct
0.399 0.399 0.202
0.601 0.601 0.798
0.000 0.000 0.000
0.750 0.250 0.500
0.250 0.750 0.500
```

Properties
E_form: 1.2 eV per formula unit
Magnetic moment: 0.64 μB/f.u.
Final energy: -0.04267 Ha/atom
Crystal system: tetragonal

Record 17
## CsNaCa (PBE)

Data for crystalline CsNaCa at its relaxed geometry.

```
CsNaCa
1.0
-2.800 -3.053 -1.049
3.701 0.308 -2.072
8.826 -12.851 13.851
Na Ca Cs
2 2 2
direct
0.611 0.223 0.000
0.278 0.556 0.500
0.613 0.227 0.359
0.613 0.227 0.641
0.275 0.550 0.825
0.275 0.550 0.175
```

Properties
E_form: 0.6 eV per formula unit
Magnetic moment: 0.00 μB/f.u.
Final energy: -0.04421 Ha/atom
Crystal system: orthorhombic

Record 18
## Cs2Na2Ca (PBE)

Data for crystalline Cs2Na2Ca at its relaxed geometry.

```
Cs2Na2Ca
1.0
11.813 0.000 0.000
0.000 11.813 0.000
0.000 0.000 4.342
Cs Na Ca
4 4 2
direct
0.363 0.863 0.000
0.863 0.637 0.000
0.637 0.137 0.000
0.137 0.363 0.000
0.167 0.667 0.500
0.667 0.833 0.500
0.833 0.333 0.500
0.333 0.167 0.500
0.000 0.000 0.000
0.500 0.500 0.000
```

Properties
E_form: 1.1 eV per formula unit
Magnetic moment: 0.00 μB/f.u.
Final energy: -0.03838 Ha/atom
Crystal system: tetragonal

Record 19
## Cs2NaCa (PBE)

Data for crystalline Cs2NaCa at its relaxed geometry.

```
Cs2NaCa
1.0
11.683 0.000 0.000
0.000 11.683 0.000
5.841 5.841 4.203
Cs Na Ca
4 2 2
direct
0.596 0.125 0.250
0.154 0.625 0.250
0.375 0.404 0.750
0.875 0.846 0.750
0.500 0.500 0.000
0.250 0.750 0.500
0.000 0.000 0.000
0.750 0.250 0.500
```

Properties
E_form: 1.1 eV per formula unit
Magnetic moment: 0.00 μB/f.u.
Final energy: -0.03624 Ha/atom
Crystal system: tetragonal

Record 20
## CsNaCa2P (PBE)

Data for crystalline CsNaCa2P at its relaxed geometry.

```
CsNaCa2P
1.0
5.671 0.000 0.000
0.000 6.464 0.000
0.000 0.000 5.671
Cs P Ca Na
1 1 2 1
direct
0.500 0.500 0.500
0.000 0.000 0.000
0.000 0.000 0.500
0.500 0.000 0.000
0.000 0.500 0.000
```

Properties
E_form: -1.3 eV per formula unit
Magnetic moment: 0.00 μB/f.u.
Final energy: -0.09449 Ha/atom
Crystal system: tetragonal